The following is a PBE calculation of a geometry-optimized Tm12Co6Te structure, from Alexandria via LeMat-Bulk.

Summary:
* raw formation energy: -33.1 kJ per mole of atoms
* spin magnetization: 0.00 μB per formula unit
* symmetry: Im-3
* total DFT energy (no corrections): -5.577 eV per atom

Cell: 8.279 8.279 8.279 Å, 109.47 109.47 109.47°
Sites, in units of the cell vectors:
Tm 0.108 0.306 0.802
Tm 0.198 0.503 0.306
Tm 0.198 0.892 0.694
Tm 0.306 0.198 0.503
Tm 0.306 0.802 0.108
Tm 0.497 0.694 0.802
Tm 0.503 0.306 0.198
Tm 0.694 0.198 0.892
Tm 0.694 0.802 0.497
Tm 0.802 0.108 0.306
Tm 0.802 0.497 0.694
Tm 0.892 0.694 0.198
Co 0.114 0.500 0.614
Co 0.386 0.886 0.500
Co 0.500 0.386 0.886
Co 0.500 0.614 0.114
Co 0.614 0.114 0.500
Co 0.886 0.500 0.386
Te 0.000 0.000 0.000

---

The following is a PBE calculation of a geometry-optimized ScSbSe structure, from Alexandria via LeMat-Bulk.

Summary:
* raw formation energy: -99.8 kJ per mole of atoms
* spin magnetization: 0.00 μB per formula unit
* symmetry: Cm
* total DFT energy (no corrections): -5.681 eV per atom

Cell: 14.442 3.910 6.186 Å, 90.00 112.98 90.00°
Sites, in units of the cell vectors:
Sc 0.000 0.000 0.000
Sc 0.236 0.000 0.421
Sc 0.500 0.500 0.000
Sc 0.736 0.500 0.421
Sb 0.045 0.000 0.537
Sb 0.408 0.000 0.250
Sb 0.545 0.500 0.537
Sb 0.908 0.500 0.250
Se 0.142 0.500 0.094
Se 0.306 0.500 0.729
Se 0.642 0.000 0.094
Se 0.806 0.000 0.729